Record 1
The following is a PBE-GGA calculation of a relaxed structure of Sm3Al4Cu2, from the Alexandria database.

```
Sm3Al4Cu2
1.0
-2.487 3.678 -0.549
-2.283 -3.697 3.806
5.634 4.486 4.527
Sm Al Cu
3 4 2
direct
0.628 0.256 0.688 Sm
0.000 0.000 0.000 Sm
0.372 0.744 0.312 Sm
0.722 0.444 0.073 Al
0.278 0.556 0.927 Al
0.898 0.797 0.581 Al
0.102 0.203 0.419 Al
0.669 0.338 0.338 Cu
0.331 0.662 0.662 Cu
```

Calculated values
total energy: -4.532 eV/atom
symmetry: C2/m (12)
size of the total moment: 0.000 μB per formula unit
energy of formation: -385 meV/atom

---

Record 2
The following is a PBE-GGA calculation of a relaxed structure of SmAl6Cu12, from the Alexandria database.

```
SmAl6Cu12
1.0
6.830 0.016 0.022
-1.678 6.620 0.022
-1.678 -2.161 6.258
Sm Al Cu
1 6 12
direct
0.000 0.000 0.000 Sm
0.702 0.283 0.283 Al
0.283 0.283 0.702 Al
0.283 0.702 0.283 Al
0.717 0.717 0.298 Al
0.298 0.717 0.717 Al
0.717 0.298 0.717 Al
0.888 0.112 0.500 Cu
0.876 0.621 0.621 Cu
0.621 0.621 0.876 Cu
0.379 0.124 0.379 Cu
0.379 0.379 0.124 Cu
0.124 0.379 0.379 Cu
0.112 0.500 0.888 Cu
0.500 0.888 0.112 Cu
0.112 0.888 0.500 Cu
0.888 0.500 0.112 Cu
0.500 0.112 0.888 Cu
0.621 0.876 0.621 Cu
```

Calculated values
total energy: -4.117 eV/atom
symmetry: R-3m (166)
size of the total moment: 0.000 μB per formula unit
energy of formation: -100 meV/atom

---

Record 3
The following is a PBE-GGA calculation of a relaxed structure of SmAlCu2, from the Alexandria database.

```
SmAlCu2
1.0
5.581 0.000 0.000
0.000 6.518 0.000
0.000 0.000 8.037
Sm Al Cu
4 4 8
direct
0.344 0.250 0.057 Sm
0.844 0.750 0.443 Sm
0.656 0.750 0.943 Sm
0.156 0.250 0.557 Sm
0.654 0.250 0.388 Al
0.154 0.750 0.112 Al
0.346 0.750 0.612 Al
0.846 0.250 0.888 Al
0.887 0.057 0.173 Cu
0.387 0.943 0.327 Cu
0.113 0.557 0.827 Cu
0.613 0.443 0.673 Cu
0.113 0.943 0.827 Cu
0.613 0.057 0.673 Cu
0.887 0.443 0.173 Cu
0.387 0.557 0.327 Cu
```

Calculated values
total energy: -4.466 eV/atom
symmetry: Pnma (62)
size of the total moment: 0.000 μB per formula unit
energy of formation: -303 meV/atom

---

Record 4
The following is a PBE-GGA calculation of a relaxed structure of SmAlCu4, from the Alexandria database.

```
SmAlCu4
1.0
-3.571 -2.450 0.199
3.173 -4.334 3.585
-0.228 4.641 5.813
Sm Al Cu
2 2 8
direct
0.385 0.750 0.771 Sm
0.615 0.250 0.229 Sm
0.153 0.750 0.306 Al
0.847 0.250 0.694 Al
0.250 0.426 0.501 Cu
0.750 0.574 0.499 Cu
0.250 0.074 0.501 Cu
0.750 0.926 0.499 Cu
0.578 0.750 0.155 Cu
0.422 0.250 0.845 Cu
0.000 0.500 0.000 Cu
0.000 0.000 0.000 Cu
```

Calculated values
total energy: -4.228 eV/atom
symmetry: Cmcm (63)
size of the total moment: 0.000 μB per formula unit
energy of formation: -87 meV/atom

---

Record 5
The following is a PBE-GGA calculation of a relaxed structure of SmAlCu4, from the Alexandria database.

```
SmAlCu4
1.0
5.254 0.000 0.000
-2.627 4.550 0.000
0.000 0.000 4.012
Sm Al Cu
1 1 4
direct
0.667 0.333 0.000 Sm
0.000 0.000 0.000 Al
0.333 0.667 0.000 Cu
0.665 0.832 0.500 Cu
0.168 0.832 0.500 Cu
0.168 0.335 0.500 Cu
```

Calculated values
total energy: -4.386 eV/atom
symmetry: P-6m2 (187)
size of the total moment: 0.000 μB per formula unit
energy of formation: -245 meV/atom

---

Record 6
The following is a PBE-GGA calculation of a relaxed structure of SmAl6Cu, from the Alexandria database.

```
SmAl6Cu
1.0
4.288 0.000 0.000
0.000 4.288 0.000
0.000 0.000 8.228
Sm Al Cu
1 6 1
direct
0.000 0.000 0.000 Sm
0.500 0.000 0.665 Al
0.000 0.500 0.665 Al
0.500 0.500 0.152 Al
0.500 0.500 0.848 Al
0.000 0.500 0.335 Al
0.500 0.000 0.335 Al
0.000 0.000 0.500 Cu
```

Calculated values
total energy: -4.159 eV/atom
symmetry: P4/mmm (123)
size of the total moment: 0.000 μB per formula unit
energy of formation: -250 meV/atom

---

Record 7
The following is a PBE-GGA calculation of a relaxed structure of SmAl2Cu9, from the Alexandria database.

```
SmAl2Cu9
1.0
-0.342 0.010 4.952
-4.029 -1.873 2.214
2.025 -7.807 2.644
Sm Al Cu
1 2 9
direct
0.000 0.000 0.000 Sm
0.855 0.855 0.435 Al
0.145 0.145 0.565 Al
0.666 0.666 0.002 Cu
0.334 0.334 0.998 Cu
0.500 0.500 0.500 Cu
0.410 0.410 0.262 Cu
0.919 0.410 0.262 Cu
0.410 0.919 0.262 Cu
0.590 0.590 0.738 Cu
0.590 0.081 0.738 Cu
0.081 0.590 0.738 Cu
```

Calculated values
total energy: -4.249 eV/atom
symmetry: R-3m (166)
size of the total moment: 0.000 μB per formula unit
energy of formation: -159 meV/atom

---

Record 8
The following is a PBE-GGA calculation of a relaxed structure of Sm3Al4Cu2, from the Alexandria database.

```
Sm3Al4Cu2
1.0
-1.820 1.124 3.962
1.676 -5.585 -0.204
6.712 5.064 1.646
Sm Al Cu
3 4 2
direct
0.677 0.353 0.650 Sm
0.000 0.000 0.000 Sm
0.323 0.647 0.350 Sm
0.731 0.463 0.075 Al
0.269 0.537 0.925 Al
0.973 0.946 0.639 Al
0.027 0.054 0.361 Al
0.592 0.184 0.263 Cu
0.408 0.816 0.737 Cu
```

Calculated values
total energy: -4.558 eV/atom
symmetry: C2/m (12)
size of the total moment: 0.000 μB per formula unit
energy of formation: -411 meV/atom